{"formula": "Rb2CoPtO4", "functional": "PBE with a Hubbard U", "state": "optimized geometry", "lattice_angstrom": [[0.000, 6.880, 9.999], [2.902, 0.000, 9.999], [2.902, 6.880, 0.000]], "species": ["Rb", "Rb", "Rb", "Rb", "Co", "Co", "Pt", "Pt", "O", "O", "O", "O", "O", "O", "O", "O"], "fractional_positions": [[0.048, 0.048, 0.702], [0.298, 0.298, 0.952], [0.702, 0.702, 0.048], [0.952, 0.952, 0.298], [0.375, 0.375, 0.375], [0.625, 0.625, 0.625], [0.125, 0.125, 0.125], [0.875, 0.875, 0.875], [0.052, 0.695, 0.517], [0.236, 0.517, 0.695], [0.305, 0.948, 0.764], [0.483, 0.764, 0.948], [0.517, 0.236, 0.052], [0.695, 0.052, 0.236], [0.764, 0.483, 0.305], [0.948, 0.305, 0.483]], "final_energy_ev_per_atom": -5.094, "spacegroup": "Fddd, No. 70", "dos_ef_per_ev_cell": 12.662}